Record 1
SrScO3: single point on PBEsol structure, SCAN.

Total magnetization in Bohr magnetons per cell: 1.01
Raw total energy in eV per atom: -14.083
Raw formation energy in eV/f.u.: -15.21
Theoretical density in g/cm3: 4.4

```
data_SrScO3
_space_group_name_H-M_alt 'P m -3 m'
_space_group_IT_number 221
_space_group_name_Hall '-P 4 2 3'
_cell_length_a 4.085
_cell_length_b 4.085
_cell_length_c 4.085
_cell_angle_alpha 90.00
_cell_angle_beta 90.00
_cell_angle_gamma 90.00
loop_
_atom_site_label
_atom_site_type_symbol
_atom_site_fract_x
_atom_site_fract_y
_atom_site_fract_z
Sr1 Sr 0.000 0.000 0.000
Sc1 Sc 0.500 0.500 0.500
O1 O 0.000 0.500 0.500
```


Record 2
CaTcPt2: single point on PBEsol structure, SCAN.

Total magnetization in Bohr magnetons per cell: 0.00
Offset from the most stable computed form in kcal/mol of atoms: 8.45
Raw total energy in eV per atom: -46.281
Theoretical density in g/cm3: 12.4

```
data_CaTcPt2
_space_group_name_H-M_alt 'P 4 m m'
_space_group_IT_number 99
_space_group_name_Hall 'P 4 -2'
_cell_length_a 3.249
_cell_length_b 3.249
_cell_length_c 6.709
_cell_angle_alpha 90.00
_cell_angle_beta 90.00
_cell_angle_gamma 90.00
loop_
_atom_site_label
_atom_site_type_symbol
_atom_site_fract_x
_atom_site_fract_y
_atom_site_fract_z
Ca1 Ca 0.000 0.000 0.000
Tc1 Tc 0.500 0.500 0.681
Pt1 Pt 0.000 0.000 0.505
Pt2 Pt 0.500 0.500 0.276
```


Record 3
InFeAg4: single point on PBEsol structure, SCAN.

Total magnetization in Bohr magnetons per cell: 12.62
Raw total energy in eV per atom: -29.138
Theoretical density in g/cm3: 9.3

```
data_InFeAg4
_space_group_name_H-M_alt 'F -4 3 m'
_space_group_IT_number 216
_space_group_name_Hall 'F -4 2 3'
_cell_length_a 7.546
_cell_length_b 7.546
_cell_length_c 7.546
_cell_angle_alpha 90.00
_cell_angle_beta 90.00
_cell_angle_gamma 90.00
loop_
_atom_site_label
_atom_site_type_symbol
_atom_site_fract_x
_atom_site_fract_y
_atom_site_fract_z
In1 In 0.000 0.000 0.000
Fe1 Fe 0.250 0.250 0.250
Ag1 Ag 0.125 0.125 0.625
```